This record from Alexandria via LeMat-Bulk describes Ba6Ge2NCl after structural relaxation. The functional is PBE-GGA.

total energy = -3.90 eV per atom

abc: 7.773 8.336 11.374
angles: 90.00 90.54 90.00
Atoms (fractional coordinates):
Ba 0.290 0.673 0.059
Ba 0.790 0.827 0.559
Ba 0.710 0.327 0.941
Ba 0.210 0.173 0.441
Ba 0.331 0.710 0.441
Ba 0.831 0.790 0.941
Ba 0.669 0.290 0.559
Ba 0.169 0.210 0.059
Ba 0.890 0.539 0.230
Ba 0.390 0.961 0.730
Ba 0.110 0.461 0.770
Ba 0.610 0.039 0.270
Ge 0.025 0.926 0.246
Ge 0.525 0.574 0.746
Ge 0.975 0.074 0.754
Ge 0.475 0.426 0.254
N 0.500 0.000 0.500
N 0.000 0.500 0.000
Cl 0.500 0.000 0.000
Cl 0.000 0.500 0.500